# Hf2ZnAs

A relaxed Hf2ZnAs crystal (PBE-GGA, the Alexandria database).

a b c (Å): 7.283 7.283 5.948
angles (deg): 52.25 52.25 90.00
Fractional positions:
As  0.000  0.000  0.000
As  0.750  0.250  0.500
Hf  0.631  0.125  0.250
Hf  0.119  0.625  0.250
Hf  0.375  0.369  0.750
Hf  0.875  0.881  0.750
Zn  0.500  0.500  0.000
Zn  0.250  0.750  0.500

For the total energy, the calculation gives -6.71 eV per atom. As for the crystal system: tetragonal. The formation energy from the elements is -0.2523 eV/atom.

=====

# SmEuTmCd

A relaxed SmEuTmCd crystal (PBE-GGA, the Alexandria database).

a b c (Å): 5.566 5.566 5.566
angles (deg): 60.00 60.00 60.00
Fractional positions:
Eu  0.500  0.500  0.500
Tm  0.250  0.250  0.250
Sm  0.000  0.000  0.000
Cd  0.750  0.750  0.750

For the total energy, the calculation gives -5.11 eV per atom. As for the crystal system: cubic. The formation energy from the elements is -0.0142 eV/atom.

=====

# La4NdDy2Sc

A relaxed La4NdDy2Sc crystal (PBE-GGA, the Alexandria database).

a b c (Å): 5.942 9.701 5.942
angles (deg): 52.23 90.00 90.00
Fractional positions:
La  0.000  0.745  0.754
La  0.000  0.255  0.246
La  0.500  0.743  0.257
La  0.500  0.257  0.743
Nd  0.500  0.500  0.000
Dy  0.000  0.000  0.000
Dy  0.500  0.000  0.500
Sc  0.000  0.500  0.500

For the total energy, the calculation gives -4.91 eV per atom. As for the crystal system: orthorhombic. The formation energy from the elements is 0.0917 eV/atom.

=====

# YMgZn2

A relaxed YMgZn2 crystal (PBE-GGA, the Alexandria database).

a b c (Å): 5.738 5.738 5.738
angles (deg): 143.81 129.81 63.43
Fractional positions:
Mg  0.484  0.484  0.000
Y  0.765  0.265  0.500
Zn  0.027  0.027  0.000
Zn  0.224  0.724  0.500

For the total energy, the calculation gives -2.80 eV per atom. As for the crystal system: orthorhombic. The formation energy from the elements is -0.1487 eV/atom.

=====

# TlSi2I

A relaxed TlSi2I crystal (PBE-GGA, the Alexandria database).

a b c (Å): 5.164 5.164 5.164
angles (deg): 60.00 60.00 60.00
Fractional positions:
I  0.000  0.000  0.000
Tl  0.500  0.500  0.500
Si  0.250  0.250  0.250
Si  0.750  0.750  0.750

For the total energy, the calculation gives -2.85 eV per atom. As for the crystal system: cubic. As for the formation energy (no corrections): 3.369 eV per formula unit.

=====

# AlTcSe

A relaxed AlTcSe crystal (PBE-GGA, the Alexandria database).

a b c (Å): 4.272 4.272 3.104
angles (deg): 90.00 90.00 120.00
Fractional positions:
Tc  0.667  0.333  0.500
Se  0.333  0.667  0.500
Al  0.000  0.000  0.000

For the total energy, the calculation gives -5.73 eV per atom. As for the crystal system: hexagonal. As for the formation energy (no corrections): 0.396 eV per formula unit.

=====

# K2InGa

A relaxed K2InGa crystal (PBE-GGA, the Alexandria database).

a b c (Å): 4.783 4.784 9.283
angles (deg): 75.02 75.07 60.01
Fractional positions:
K  0.893  0.657  0.558
K  0.713  0.475  0.100
In  0.469  0.232  0.829
Ga  0.136  0.899  0.830

For the total energy, the calculation gives -2.09 eV per atom. As for the crystal system: trigonal. The formation energy from the elements is -0.0980 eV/atom.

=====

# CaPmYTm

A relaxed CaPmYTm crystal (PBE-GGA, the Alexandria database).

a b c (Å): 5.767 5.767 5.767
angles (deg): 60.00 60.00 60.00
Fractional positions:
Y  0.750  0.750  0.750
Ca  0.000  0.000  0.000
Tm  0.500  0.500  0.500
Pm  0.250  0.250  0.250

For the total energy, the calculation gives -4.29 eV per atom. As for the crystal system: cubic. The formation energy from the elements is 0.1368 eV/atom.